The following is a DFT calculation (PBE) of a relaxed Cs2NpZnBr6 crystal.

a = 8.2294 Å, b = 8.2296 Å, c = 8.2275 Å
α = 59.98°, β = 59.99°, γ = 89.99°
Site moments in Bohr magnetons follow the coordinates.
Atoms (fractional coordinates):
1 Br 0.7550 0.7546 0.0000  -0.02
2 Br 0.7546 0.2451 0.0000  -0.02
3 Br 0.2454 0.7549 0.0000  -0.02
4 Br 0.2450 0.2454 0.0000  -0.02
5 Br 0.7546 0.7546 0.4908  -0.02
6 Br 0.2454 0.2454 0.5092  -0.02
7 Cs 0.7502 0.2500 0.4998  0.00
8 Cs 0.2498 0.7500 0.5002  0.00
9 Np 0.0000 0.0000 0.0000  3.87
10 Zn 0.5000 0.5000 0.0000  0.04

Summary:
- D(E_F) (states/eV/cell) = 6.54
- E_form (uncorrected) (eV/atom) = -1.302
- symmetry = No. 87
- total DFT energy (no corrections) (eV/cell) = -39.0
- total magnetic moment (μB per formula unit) = 3.9